#one
This record from Alexandria via LeMat-Bulk describes a geometry-optimized Tc3HIr structure. The functional is PBE.

a b c (Å): 4.7524 4.7524 4.7524
angles (deg): 90.00 90.00 90.00
Positions (direct):
Tc1 0.0000 0.0000 0.5000
Tc2 0.0000 0.5000 0.0000
Tc3 0.5000 0.0000 0.0000
H1 0.5000 0.5000 0.5000
Ir1 0.0000 0.0000 0.0000

#two
This record from Alexandria via LeMat-Bulk describes a geometry-optimized Tc3HIr structure. The functional is PBE.

a b c (Å): 3.9141 3.9141 3.9141
angles (deg): 90.00 90.00 90.00
Positions (direct):
Tc1 0.0000 0.0000 0.5000
Tc2 0.0000 0.5000 0.0000
Tc3 0.5000 0.0000 0.0000
H1 0.0000 0.0000 0.0000
Ir1 0.5000 0.5000 0.5000

In terms of stability, #two leads; the second structure lies 2417 meV per atom higher.

#one
This record from Alexandria via LeMat-Bulk describes a geometry-optimized TcTeHIr2 structure. The functional is PBE.

a b c (Å): 4.8787 4.8787 5.0183
angles (deg): 90.00 90.00 90.00
Positions (direct):
Tc1 0.0000 0.0000 0.0000
Te1 0.0000 0.0000 0.5000
H1 0.5000 0.5000 0.0000
Ir1 0.0000 0.5000 0.5000
Ir2 0.5000 0.0000 0.5000

#two
This record from Alexandria via LeMat-Bulk describes a geometry-optimized TcTeHIr2 structure. The functional is PBE.

a b c (Å): 3.9147 3.9147 4.4238
angles (deg): 90.00 90.00 90.00
Positions (direct):
Tc1 0.0000 0.0000 0.0000
Te1 0.5000 0.5000 0.0000
H1 0.5000 0.5000 0.5000
Ir1 0.0000 0.5000 0.5000
Ir2 0.5000 0.0000 0.5000

In terms of stability, #two leads; the second structure lies 1801 meV per atom higher.

#one
This record from Alexandria via LeMat-Bulk describes a geometry-optimized TiTcHIr2 structure. The functional is PBE.

a b c (Å): 3.8968 3.8968 4.0041
angles (deg): 90.00 90.00 90.00
Positions (direct):
Ti1 0.0000 0.0000 0.0000
Tc1 0.5000 0.5000 0.0000
H1 0.0000 0.0000 0.5000
Ir1 0.0000 0.5000 0.5000
Ir2 0.5000 0.0000 0.5000

#two
This record from Alexandria via LeMat-Bulk describes a geometry-optimized TiTcHIr2 structure. The functional is PBE.

a b c (Å): 3.9217 3.9217 3.9744
angles (deg): 90.00 90.00 90.00
Positions (direct):
Ti1 0.0000 0.0000 0.0000
Tc1 0.5000 0.5000 0.0000
H1 0.5000 0.5000 0.5000
Ir1 0.0000 0.5000 0.5000
Ir2 0.5000 0.0000 0.5000

In terms of stability, #one leads; the second structure lies 12 meV per atom higher.

#one
This record from Alexandria via LeMat-Bulk describes a geometry-optimized V2TcHIr structure. The functional is PBE.

a b c (Å): 3.9113 3.9113 3.7811
angles (deg): 90.00 90.00 90.00
Positions (direct):
V1 0.0000 0.5000 0.0000
V2 0.5000 0.0000 0.0000
Tc1 0.0000 0.0000 0.5000
H1 0.0000 0.0000 0.0000
Ir1 0.5000 0.5000 0.5000

#two
This record from Alexandria via LeMat-Bulk describes a geometry-optimized V2TcHIr structure. The functional is PBE.

a b c (Å): 3.9999 3.9999 3.6426
angles (deg): 90.00 90.00 90.00
Positions (direct):
V1 0.0000 0.5000 0.0000
V2 0.5000 0.0000 0.0000
Tc1 0.0000 0.0000 0.5000
H1 0.5000 0.5000 0.0000
Ir1 0.5000 0.5000 0.5000

In terms of stability, #one leads; the second structure lies 46 meV per atom higher.

#one
This record from Alexandria via LeMat-Bulk describes a geometry-optimized Tc2HIrW structure. The functional is PBE.

a b c (Å): 3.9199 3.9199 4.0022
angles (deg): 90.00 90.00 90.00
Positions (direct):
Tc1 0.0000 0.5000 0.0000
Tc2 0.5000 0.0000 0.0000
H1 0.0000 0.0000 0.0000
Ir1 0.5000 0.5000 0.5000
W1 0.0000 0.0000 0.5000

#two
This record from Alexandria via LeMat-Bulk describes a geometry-optimized Tc2HIrW structure. The functional is PBE.

a b c (Å): 3.9560 3.9560 3.9300
angles (deg): 90.00 90.00 90.00
Positions (direct):
Tc1 0.0000 0.5000 0.0000
Tc2 0.5000 0.0000 0.0000
H1 0.0000 0.0000 0.0000
Ir1 0.0000 0.0000 0.5000
W1 0.5000 0.5000 0.5000

In terms of stability, #two leads; the second structure lies 6 meV per atom higher.

#one
This record from Alexandria via LeMat-Bulk describes a geometry-optimized TeH3Ir structure. The functional is PBE.

a b c (Å): 3.7249 3.7249 3.7249
angles (deg): 90.00 90.00 90.00
Positions (direct):
Te1 0.0000 0.0000 0.0000
H1 0.0000 0.5000 0.5000
H2 0.5000 0.0000 0.5000
H3 0.5000 0.5000 0.0000
Ir1 0.5000 0.5000 0.5000

#two
This record from Alexandria via LeMat-Bulk describes a geometry-optimized TeH3Ir structure. The functional is PBE.

a b c (Å): 3.8689 3.8689 3.8689
angles (deg): 90.00 90.00 90.00
Positions (direct):
Te1 0.0000 0.0000 0.0000
H1 0.0000 0.0000 0.5000
H2 0.0000 0.5000 0.0000
H3 0.5000 0.0000 0.0000
Ir1 0.5000 0.5000 0.5000

In terms of stability, #one leads; the second structure lies 868 meV per atom higher.

#one
This record from Alexandria via LeMat-Bulk describes a geometry-optimized Th2HIr structure. The functional is PBE.

a b c (Å): 7.8066 7.8066 7.8066
angles (deg): 31.37 31.37 31.37
Positions (direct):
Th1 0.0993 0.0993 0.0993
Th2 0.9007 0.9007 0.9007
H1 0.0000 0.0000 0.0000
Ir1 0.5000 0.5000 0.5000

#two
This record from Alexandria via LeMat-Bulk describes a geometry-optimized Th2HIr structure. The functional is PBE.

a b c (Å): 7.1146 7.1146 7.1146
angles (deg): 32.60 32.60 32.60
Positions (direct):
Th1 0.0000 0.0000 0.0000
Th2 0.1700 0.1700 0.1700
H1 0.4066 0.4066 0.4066
Ir1 0.5833 0.5833 0.5833

In terms of stability, #two leads; the second structure lies 57 meV per atom higher.

#one
This record from Alexandria via LeMat-Bulk describes a geometry-optimized Ti2HIr structure. The functional is PBE.

a b c (Å): 5.1379 5.1379 5.1379
angles (deg): 111.59 111.59 105.31
Positions (direct):
Ti1 0.0429 0.6250 0.9179
Ti2 0.3750 0.2929 0.4179
Ti3 0.7071 0.1250 0.0821
Ti4 0.8750 0.9571 0.5821
H1 0.0000 0.0000 0.0000
H2 0.7500 0.2500 0.5000
Ir1 0.2500 0.7500 0.5000
Ir2 0.5000 0.5000 0.0000

#two
This record from Alexandria via LeMat-Bulk describes a geometry-optimized Ti2HIr structure. The functional is PBE.

a b c (Å): 2.8529 2.8529 6.1406
angles (deg): 90.00 90.00 90.00
Positions (direct):
Ti1 0.0000 0.0000 0.2128
Ti2 0.0000 0.0000 0.7872
H1 0.5000 0.5000 0.0000
Ir1 0.5000 0.5000 0.5000

In terms of stability, #one leads; the second structure lies 124 meV per atom higher.